This record from the Alexandria database describes a geometry-optimized SrCd2CoO4 structure. The functional is PBE+U.

Calculated values
The value obtained for the final energy is -4.96 eV per atom. The symmetry is Cmcm (63). As for the crystal system: orthorhombic.

Cell: 5.9966 5.9966 11.6710 Å, 90.00 90.00 147.10°
With the nearest neighbours (Å) after each atom.
Fractional coordinates of all 16 atoms:
Sr1 0.1181 0.8819 0.7500  6 O 2.57-2.64
Sr2 0.8819 0.1181 0.2500  6 O 2.57-2.64
Cd1 0.3697 0.6303 0.5402  5 O 2.30-2.47
Cd2 0.3697 0.6303 0.9598  5 O 2.30-2.47
Cd3 0.6303 0.3697 0.0402  5 O 2.30-2.47
Cd4 0.6303 0.3697 0.4598  5 O 2.30-2.47
Co1 0.1433 0.8567 0.2500  4 O 1.98-2.01
Co2 0.8567 0.1433 0.7500  4 O 1.98-2.01
O1 0.0000 0.0000 0.0000  4 Cd 2.31
O2 0.0000 0.0000 0.5000  4 Cd 2.31
O3 0.2604 0.7396 0.1252  1 Co 1.98
O4 0.2604 0.7396 0.3748  1 Co 1.98
O5 0.4500 0.5500 0.7500  2 Co 2.01
O6 0.5500 0.4500 0.2500  2 Co 2.01
O7 0.7396 0.2604 0.6252  1 Co 1.98
O8 0.7396 0.2604 0.8748  1 Co 1.98